Entry 1:
KSmTeO: optimized geometry, GGA-PBE.

Cell: 8.8927 7.6392 6.8012 Å, 90.00 97.74 90.00°
Positions (direct):
K (0.8727, 0.3828, 0.1579)
K (0.1273, 0.8828, 0.3421)
K (0.8728, 0.1172, 0.6579)
K (0.1273, 0.6172, 0.8421)
O (0.5748, 0.3586, 0.1112)
O (0.4252, 0.8586, 0.3888)
O (0.5748, 0.1414, 0.6112)
O (0.4252, 0.6414, 0.8888)
Sm (0.5135, 0.6363, 0.2117)
Sm (0.4865, 0.1363, 0.2883)
Sm (0.5135, 0.8637, 0.7117)
Sm (0.4865, 0.3637, 0.7883)
Te (0.7607, 0.9277, 0.1167)
Te (0.2393, 0.4277, 0.3833)
Te (0.7607, 0.5723, 0.6167)
Te (0.2393, 0.0723, 0.8833)

crystal system: monoclinic
electronic total energy: -5.560 eV/atom
energy above the most stable polymorph in this dataset: 0.00 eV per formula unit
space group: No. 14



Entry 2:
NaCuReTe2Se: optimized geometry, GGA-PBE.

Cell: 7.5361 7.5361 9.8871 Å, 90.00 90.00 150.49°
Last column: magnetic moment on the atom in μB.
Positions (direct):
Cu (0.4710, 0.5290, 0.2500)  0.06
Cu (0.5290, 0.4710, 0.7500)  0.06
Na (0.7445, 0.2555, 0.2500)  0.01
Na (0.2555, 0.7445, 0.7500)  0.01
Re (0.0000, 0.0000, 0.0000)  1.40
Re (0.0000, 0.0000, 0.5000)  1.38
Se (0.0708, 0.9292, 0.2500)  0.01
Se (0.9292, 0.0708, 0.7500)  0.01
Te (0.3677, 0.6323, 0.0406)  0.03
Te (0.3677, 0.6323, 0.4594)  0.03
Te (0.6323, 0.3677, 0.5406)  0.03
Te (0.6323, 0.3677, 0.9594)  0.03

crystal system: orthorhombic
electronic total energy: -4.600 eV/atom
space group: No. 63



Entry 3:
PrNd2Al2Cu4: optimized geometry, GGA-PBE.

Cell: 5.6351 5.6351 8.4251 Å, 98.71 98.71 44.41°
Positions (direct):
Al (0.3224, 0.3224, 0.2219)
Al (0.6776, 0.6776, 0.7781)
Cu (0.7323, 0.7323, 0.0794)
Cu (0.9162, 0.9162, 0.3602)
Cu (0.0838, 0.0838, 0.6398)
Cu (0.2677, 0.2677, 0.9206)
Nd (0.6250, 0.6250, 0.3786)
Nd (0.3750, 0.3750, 0.6214)
Pr (0.0000, 0.0000, 0.0000)

crystal system: monoclinic
electronic total energy: -4.382 eV/atom
space group: No. 12



Entry 4:
BaSmHg: optimized geometry, GGA-PBE.

Cell: 5.3479 5.3479 5.3479 Å, 60.00 60.00 60.00°
Positions (direct):
Ba (0.2500, 0.2500, 0.2500)
Hg (0.7500, 0.7500, 0.7500)
Sm (0.0000, 0.0000, 0.0000)

crystal system: cubic
electronic total energy: -2.106 eV/atom
energy above the most stable polymorph in this dataset: 0.00 eV per formula unit
space group: No. 216